[1]
Here is a relaxed Ta2AsO8 crystal from Alexandria. Energies are from PBE.

Properties
As for the formation energy from raw total energies: -1.903 eV per atom. For the total energy, the calculation gives -8.09 eV/atom. Its total magnetization is 0.090 μB per atom.

```
Ta2AsO8
1.0
4.636 -3.212 0.000
4.636 3.212 0.000
-0.116 0.000 4.149
Ta As O
2 1 8
direct
0.134 0.134 0.275
0.866 0.866 0.725
0.500 0.500 0.000
0.101 0.101 0.744
0.200 0.608 0.771
0.336 0.336 0.248
0.392 0.800 0.229
0.608 0.200 0.771
0.664 0.664 0.752
0.800 0.392 0.229
0.899 0.899 0.256
```

[2]
Here is a relaxed BiPPbCl2 crystal from Alexandria. Energies are from PBE.

Properties
As for the formation energy from raw total energies: 0.097 eV per atom. For the energy above the lowest structure with this stoichiometry, the calculation gives 0 meV per atom. For the total energy, the calculation gives -3.24 eV/atom. Its total magnetization is 0.000 μB per atom.

```
BiPPbCl2
1.0
5.456 0.000 0.000
0.000 5.456 0.000
0.000 0.000 6.333
Bi P Pb Cl
1 1 1 2
direct
0.000 0.000 0.000
0.000 0.000 0.500
0.500 0.500 0.500
0.000 0.500 0.000
0.500 0.000 0.000
```

[3]
Here is a relaxed USnP2O8 crystal from Alexandria. Energies are from PBE.

Properties
As for the formation energy from raw total energies: -2.320 eV per atom. For the total energy, the calculation gives -7.80 eV/atom. Its total magnetization is 0.167 μB per atom.

```
USnP2O8
1.0
4.321 -2.777 0.000
4.321 2.777 0.000
-0.076 0.000 7.836
U Sn P O
1 1 2 8
direct
0.000 0.000 0.000
0.000 0.000 0.500
0.352 0.352 0.760
0.648 0.648 0.240
0.227 0.687 0.781
0.241 0.241 0.917
0.269 0.269 0.589
0.313 0.773 0.219
0.687 0.227 0.781
0.731 0.731 0.411
0.759 0.759 0.083
0.773 0.313 0.219
```

[4]
Here is a relaxed TaCo2Rh crystal from Alexandria. Energies are from PBE.

Properties
The calculation puts the formation energy at 0.278 eV/atom. For the energy above the lowest structure with this stoichiometry, the calculation gives 616 meV per atom. For the total energy, the calculation gives -8.08 eV/atom. Its total magnetization is 0.556 μB per atom.

```
TaCo2Rh
1.0
3.642 0.000 0.000
0.000 3.642 0.000
0.000 0.000 17.636
Ta Co Rh
4 8 4
direct
0.000 0.000 0.000
0.000 0.500 0.250
0.500 0.000 0.750
0.500 0.500 0.500
0.230 0.250 0.625
0.250 0.730 0.875
0.250 0.770 0.375
0.270 0.250 0.125
0.730 0.750 0.125
0.750 0.230 0.375
0.750 0.270 0.875
0.770 0.750 0.625
0.000 0.000 0.500
0.000 0.500 0.750
0.500 0.000 0.250
0.500 0.500 0.000
```

[5]
Here is a relaxed LaCuBr2F crystal from Alexandria. Energies are from PBE.

Properties
As for the formation energy from raw total energies: -1.304 eV per atom. For the total energy, the calculation gives -4.15 eV/atom. Its total magnetization is 0.000 μB per atom.

```
LaCuBr2F
1.0
5.323 0.000 0.000
0.000 5.323 0.000
0.000 0.000 3.902
La Cu Br F
1 1 2 1
direct
0.000 0.000 0.000
0.500 0.500 0.500
0.000 0.500 0.500
0.500 0.000 0.500
0.500 0.500 0.000
```

[6]
Here is a relaxed Hf2GaNi4 crystal from Alexandria. Energies are from PBE.

Properties
The calculation puts the formation energy at 0.251 eV/atom. For the total energy, the calculation gives -6.33 eV/atom. Its total magnetization is 0.000 μB per atom.

```
Hf2GaNi4
1.0
4.258 0.000 0.000
0.000 4.258 0.000
0.000 0.000 12.995
Hf Ga Ni
4 2 8
direct
0.000 0.000 0.134
0.000 0.000 0.866
0.500 0.500 0.366
0.500 0.500 0.634
0.000 0.000 0.500
0.500 0.500 0.000
0.000 0.000 0.321
0.000 0.000 0.679
0.000 0.500 0.000
0.000 0.500 0.500
0.500 0.000 0.000
0.500 0.000 0.500
0.500 0.500 0.179
0.500 0.500 0.821
```

[7]
Here is a relaxed Cs2PrSnBr6 crystal from Alexandria. Energies are from PBE.

Properties
As for the formation energy from raw total energies: -1.465 eV per atom. For the total energy, the calculation gives -3.52 eV/atom. Its total magnetization is 0.100 μB per atom.

```
Cs2PrSnBr6
1.0
8.210 0.000 0.000
0.000 13.126 0.000
0.000 0.000 8.541
Cs Pr Sn Br
4 2 2 12
direct
0.250 0.009 0.241
0.250 0.491 0.241
0.750 0.509 0.759
0.750 0.991 0.759
0.250 0.750 0.833
0.750 0.250 0.167
0.250 0.250 0.669
0.750 0.750 0.331
0.012 0.250 0.398
0.014 0.750 0.091
0.250 0.529 0.820
0.250 0.971 0.820
0.486 0.750 0.091
0.488 0.250 0.398
0.512 0.750 0.602
0.514 0.250 0.909
0.750 0.029 0.180
0.750 0.471 0.180
0.986 0.250 0.909
0.988 0.750 0.602
```

[8]
Here is a relaxed LaAl2Ir2 crystal from Alexandria. Energies are from PBE.

Properties
The calculation puts the formation energy at -0.646 eV/atom. For the energy above the lowest structure with this stoichiometry, the calculation gives 218 meV per atom. For the total energy, the calculation gives -6.67 eV/atom. Its total magnetization is 0.000 μB per atom.

```
LaAl2Ir2
1.0
7.737 0.000 0.000
0.000 7.737 0.000
0.000 0.000 2.965
La Al Ir
2 4 4
direct
0.000 0.000 0.000
0.500 0.500 0.000
0.133 0.367 0.500
0.367 0.867 0.500
0.633 0.133 0.500
0.867 0.633 0.500
0.155 0.655 0.000
0.345 0.155 0.000
0.655 0.845 0.000
0.845 0.345 0.000
```

[9]
Here is a relaxed LaFe2Bi2 crystal from Alexandria. Energies are from PBE.

Properties
The calculation puts the formation energy at 0.106 eV/atom. For the energy above the lowest structure with this stoichiometry, the calculation gives 113 meV per atom. For the total energy, the calculation gives -5.82 eV/atom. Its total magnetization is 0.000 μB per atom.

```
LaFe2Bi2
1.0
4.408 0.000 0.000
0.000 4.408 0.000
0.000 0.000 11.567
La Fe Bi
2 4 4
direct
0.000 0.000 0.000
0.500 0.500 0.500
0.000 0.500 0.250
0.000 0.500 0.750
0.500 0.000 0.250
0.500 0.000 0.750
0.000 0.000 0.363
0.000 0.000 0.637
0.500 0.500 0.137
0.500 0.500 0.863
```

[10]
Here is a relaxed KNaIn2Ag crystal from Alexandria. Energies are from PBE.

Properties
The calculation puts the formation energy at 0.016 eV/atom. For the total energy, the calculation gives -2.13 eV/atom. Its total magnetization is 0.000 μB per atom.

```
KNaIn2Ag
1.0
5.398 0.000 0.000
0.000 5.398 0.000
0.000 0.000 5.721
K Na In Ag
1 1 2 1
direct
0.000 0.000 0.000
0.500 0.500 0.000
0.000 0.500 0.500
0.500 0.000 0.500
0.500 0.500 0.500
```

[11]
Here is a relaxed Ce2SmMg crystal from Alexandria. Energies are from PBE.

Properties
The calculation puts the formation energy at 0.102 eV/atom. For the energy above the lowest structure with this stoichiometry, the calculation gives 1 meV per atom. For the total energy, the calculation gives -4.44 eV/atom. Its total magnetization is 0.513 μB per atom.

```
Ce2SmMg
1.0
4.765 0.000 0.000
0.000 4.765 0.000
0.000 0.000 5.103
Ce Sm Mg
2 1 1
direct
0.000 0.500 0.000
0.500 0.000 0.000
0.000 0.000 0.500
0.500 0.500 0.500
```

[12]
Here is a relaxed SrTi3V crystal from Alexandria. Energies are from PBE.

Properties
The calculation puts the formation energy at 2.039 eV/atom. For the energy above the lowest structure with this stoichiometry, the calculation gives 1404 meV per atom. For the total energy, the calculation gives -4.86 eV/atom. Its total magnetization is 0.336 μB per atom.

```
SrTi3V
1.0
4.732 0.000 0.000
0.000 4.732 0.000
0.000 0.000 4.732
Sr Ti V
1 3 1
direct
0.000 0.000 0.000
0.000 0.000 0.500
0.000 0.500 0.000
0.500 0.000 0.000
0.500 0.500 0.500
```

[13]
Here is a relaxed BaAl2CrNi crystal from Alexandria. Energies are from PBE.

Properties
The calculation puts the formation energy at 0.812 eV/atom. For the total energy, the calculation gives -4.15 eV/atom. Its total magnetization is 0.120 μB per atom.

```
BaAl2CrNi
1.0
4.633 0.000 0.000
0.000 4.633 0.000
0.000 0.000 5.487
Ba Al Cr Ni
1 2 1 1
direct
0.000 0.000 0.000
0.000 0.500 0.500
0.500 0.000 0.500
0.500 0.500 0.000
0.000 0.000 0.500
```

[14]
Here is a relaxed Zr2UPd crystal from Alexandria. Energies are from PBE.

Properties
The calculation puts the formation energy at -0.116 eV/atom. For the energy above the lowest structure with this stoichiometry, the calculation gives 42 meV per atom. For the total energy, the calculation gives -8.51 eV/atom. Its total magnetization is 0.267 μB per atom.

```
Zr2UPd
1.0
5.116 0.000 0.000
0.000 5.116 0.000
0.000 0.000 3.072
Zr U Pd
2 1 1
direct
0.000 0.500 0.000
0.500 0.000 0.000
0.000 0.000 0.500
0.500 0.500 0.500
```

[15]
Here is a relaxed Mn4Ni12H crystal from Alexandria. Energies are from PBE.

Properties
For the total energy, the calculation gives -6.54 eV/atom. Its total magnetization is 1.156 μB per atom.

```
Mn4Ni12H
1.0
-3.582 3.582 3.582
3.582 -3.582 3.582
3.582 3.582 -3.582
Mn Ni H
4 12 1
direct
0.000 0.000 0.500
0.000 0.500 0.000
0.500 0.000 0.000
0.500 0.500 0.500
0.000 0.253 0.253
0.000 0.747 0.747
0.250 0.500 0.750
0.250 0.750 0.500
0.253 0.000 0.253
0.253 0.253 0.000
0.500 0.250 0.750
0.500 0.750 0.250
0.747 0.000 0.747
0.747 0.747 0.000
0.750 0.250 0.500
0.750 0.500 0.250
0.000 0.000 0.000
```

[16]
Here is a relaxed Ca2CdP2 crystal from Alexandria. Energies are from PBE.

Properties
The calculation puts the formation energy at -0.698 eV/atom. For the energy above the lowest structure with this stoichiometry, the calculation gives 210 meV per atom. For the total energy, the calculation gives -3.85 eV/atom. Its total magnetization is 0.000 μB per atom.

```
Ca2CdP2
1.0
7.572 0.000 0.000
0.000 7.572 0.000
0.000 0.000 3.983
Ca Cd P
4 2 4
direct
0.146 0.354 0.000
0.354 0.854 0.000
0.646 0.146 0.000
0.854 0.646 0.000
0.000 0.000 0.500
0.500 0.500 0.500
0.165 0.665 0.500
0.335 0.165 0.500
0.665 0.835 0.500
0.835 0.335 0.500
```

[17]
Here is a relaxed Pm8PtAu2 crystal from Alexandria. Energies are from PBE.

Properties
The calculation puts the formation energy at -0.494 eV/atom. For the energy above the lowest structure with this stoichiometry, the calculation gives 0 meV per atom. For the total energy, the calculation gives -5.09 eV/atom. Its total magnetization is 0.000 μB per atom.

```
Pm8PtAu2
1.0
9.052 -2.580 0.000
9.052 2.580 0.000
-1.294 0.000 6.869
Pm Pt Au
8 1 2
direct
0.028 0.028 0.277
0.203 0.203 0.831
0.339 0.339 0.529
0.412 0.412 0.055
0.588 0.588 0.945
0.661 0.661 0.471
0.797 0.797 0.169
0.972 0.972 0.723
0.500 0.500 0.500
0.191 0.191 0.244
0.809 0.809 0.756
```

[18]
Here is a relaxed Mg2AlW crystal from Alexandria. Energies are from PBE.

Properties
The calculation puts the formation energy at 0.271 eV/atom. For the total energy, the calculation gives -4.70 eV/atom. Its total magnetization is 0.000 μB per atom.

```
Mg2AlW
1.0
2.780 0.000 0.000
0.000 4.930 0.000
-0.555 0.000 5.091
Mg Al W
2 1 1
direct
0.227 0.000 0.242
0.773 0.000 0.758
0.000 0.500 0.500
0.500 0.500 0.000
```

[19]
Here is a relaxed Ac2LuGa crystal from Alexandria. Energies are from PBE.

Properties
The calculation puts the formation energy at 0.246 eV/atom. For the energy above the lowest structure with this stoichiometry, the calculation gives 391 meV per atom. For the total energy, the calculation gives -3.69 eV/atom. Its total magnetization is 0.000 μB per atom.

```
Ac2LuGa
1.0
3.748 0.000 0.000
-1.874 3.246 0.000
0.000 0.000 37.169
Ac Lu Ga
6 3 3
direct
0.000 0.000 0.088
0.000 0.000 0.912
0.333 0.667 0.579
0.333 0.667 0.754
0.667 0.333 0.246
0.667 0.333 0.421
0.000 0.000 0.500
0.333 0.667 0.167
0.667 0.333 0.833
0.000 0.000 0.000
0.333 0.667 0.667
0.667 0.333 0.333
```

[20]
Here is a relaxed Al2Cd2Bi crystal from Alexandria. Energies are from PBE.

Properties
The calculation puts the formation energy at 0.212 eV/atom. For the energy above the lowest structure with this stoichiometry, the calculation gives 26 meV per atom. For the total energy, the calculation gives -2.43 eV/atom. Its total magnetization is 0.000 μB per atom.

```
Al2Cd2Bi
1.0
8.510 0.000 0.000
0.000 8.510 0.000
0.000 0.000 3.203
Al Cd Bi
4 4 2
direct
0.170 0.330 0.000
0.330 0.830 0.000
0.670 0.170 0.000
0.830 0.670 0.000
0.128 0.628 0.500
0.372 0.128 0.500
0.628 0.872 0.500
0.872 0.372 0.500
0.000 0.000 0.500
0.500 0.500 0.500
```

[21]
Here is a relaxed LaDyMgPb crystal from Alexandria. Energies are from PBE.

Properties
The calculation puts the formation energy at -0.321 eV/atom. For the total energy, the calculation gives -4.03 eV/atom. Its total magnetization is 0.000 μB per atom.

```
LaDyMgPb
1.0
7.760 0.000 0.000
0.000 7.760 0.000
0.000 0.000 7.760
La Dy Mg Pb
4 4 4 4
direct
0.000 0.000 0.000
0.000 0.500 0.500
0.500 0.000 0.500
0.500 0.500 0.000
0.000 0.000 0.500
0.000 0.500 0.000
0.500 0.000 0.000
0.500 0.500 0.500
0.250 0.250 0.750
0.250 0.750 0.250
0.750 0.250 0.250
0.750 0.750 0.750
0.250 0.250 0.250
0.250 0.750 0.750
0.750 0.250 0.750
0.750 0.750 0.250
```

[22]
Here is a relaxed Dy4BiC crystal from Alexandria. Energies are from PBE.

Properties
The calculation puts the formation energy at -0.240 eV/atom. For the energy above the lowest structure with this stoichiometry, the calculation gives 0 meV per atom. For the total energy, the calculation gives -5.49 eV/atom. Its total magnetization is 0.000 μB per atom.

```
Dy4BiC
1.0
4.219 -5.838 0.000
4.219 5.838 0.000
-1.558 0.000 6.237
Dy Bi C
8 2 2
direct
0.036 0.768 0.951
0.189 0.408 0.611
0.232 0.964 0.549
0.408 0.189 0.111
0.592 0.811 0.889
0.768 0.036 0.451
0.811 0.592 0.389
0.964 0.232 0.049
0.366 0.634 0.250
0.634 0.366 0.750
0.011 0.989 0.250
0.989 0.011 0.750
```

[23]
Here is a relaxed CaTcAs2Br crystal from Alexandria. Energies are from PBE.

Properties
As for the formation energy from raw total energies: -0.243 eV per atom. For the energy above the lowest structure with this stoichiometry, the calculation gives 0 meV per atom. For the total energy, the calculation gives -4.91 eV/atom. Its total magnetization is 0.000 μB per atom.

```
CaTcAs2Br
1.0
4.769 0.000 0.000
0.000 4.769 0.000
0.000 0.000 5.516
Ca Tc As Br
1 1 2 1
direct
0.000 0.000 0.000
0.500 0.500 0.500
0.000 0.500 0.500
0.500 0.000 0.500
0.500 0.500 0.000
```

[24]
Here is a relaxed Tb12PmTh3 crystal from Alexandria. Energies are from PBE.

Properties
The calculation puts the formation energy at 0.033 eV/atom. For the total energy, the calculation gives -5.13 eV/atom. Its total magnetization is 0.000 μB per atom.

```
Tb12PmTh3
1.0
5.046 0.000 0.000
0.000 5.046 0.000
0.000 0.000 20.154
Tb Pm Th
12 1 3
direct
0.000 0.000 0.000
0.000 0.000 0.249
0.000 0.000 0.500
0.000 0.000 0.751
0.000 0.500 0.124
0.000 0.500 0.372
0.000 0.500 0.628
0.000 0.500 0.876
0.500 0.000 0.124
0.500 0.000 0.372
0.500 0.000 0.628
0.500 0.000 0.876
0.500 0.500 0.500
0.500 0.500 0.000
0.500 0.500 0.249
0.500 0.500 0.751
```